[1]
VASP calculation (PBE-GGA) on a relaxed structure of KLa2Co.

E_form   255 meV/atom
Calculated density   4.14 Mg/m³
N(E_F)   3.858 states/eV per cell
Symmetry   No. 8

a = 6.622 Å, b = 6.622 Å, c = 7.132 Å
α = 117.34°, β = 117.34°, γ = 33.35°
Fractional positions:
K  0.000  0.000  0.000
La  0.171  0.171  0.636
La  0.343  0.343  0.368
Co  0.745  0.745  0.483

=====

[2]
VASP calculation (PBE-GGA) on a relaxed structure of K2LaCo.

E_form   310 meV/atom
Calculated density   2.70 Mg/m³
N(E_F)   3.532 states/eV per cell
Symmetry   No. 8

a = 4.466 Å, b = 4.466 Å, c = 10.452 Å
α = 100.64°, β = 100.64°, γ = 56.26°
Fractional positions:
K  0.000  0.000  0.000
K  0.174  0.174  0.605
La  0.399  0.399  0.302
Co  0.735  0.735  0.302

=====

[3]
VASP calculation (PBE-GGA) on a relaxed structure of KLa2Co.

E_form   134 meV/atom
Calculated density   4.05 Mg/m³
N(E_F)   4.262 states/eV per cell
Symmetry   No. 6

a = 4.107 Å, b = 3.941 Å, c = 9.740 Å
α = 90.00°, β = 101.98°, γ = 90.00°
Fractional positions:
K  0.000  0.000  0.000
La  0.317  0.500  0.633
La  0.688  0.000  0.367
Co  0.196  0.500  0.384

=====

[4]
VASP calculation (PBE-GGA) on a relaxed structure of K2LaCo.

E_form   1246 meV/atom
Calculated density   3.55 Mg/m³
N(E_F)   4.392 states/eV per cell
Symmetry   No. 225

a = 5.673 Å, b = 5.673 Å, c = 5.673 Å
α = 60.00°, β = 60.00°, γ = 60.00°
Fractional positions:
K  0.250  0.250  0.250
K  0.750  0.750  0.750
La  0.000  0.000  0.000
Co  0.500  0.500  0.500